1.
DFT (PBE) results for a relaxed structure of Tm6HgPd2.

## Properties
DFT formation energy in eV per atom: -0.5517
Crystal system: orthorhombic
Electronic total energy in eV/atom: -4.720
N(E_F) in states/eV per atom: 1.030

Unit cell a=8.4160 b=8.4160 c=8.4160 alpha=112.69 beta=110.46 gamma=105.35
Fractional coordinates of all 18 atoms:
Tm 0.0427 0.2391 0.8035
Tm 0.1824 0.2870 0.4694
Tm 0.1824 0.7130 0.8954
Tm 0.3290 0.0310 0.7020
Tm 0.3290 0.6270 0.2980
Tm 0.4356 0.2391 0.1965
Tm 0.5644 0.7609 0.8035
Tm 0.6710 0.3730 0.7020
Tm 0.6710 0.9690 0.2980
Tm 0.8176 0.2870 0.1046
Tm 0.8176 0.7130 0.5306
Tm 0.9573 0.7609 0.1965
Hg 0.0000 0.0000 0.0000
Hg 0.5000 0.5000 0.0000
Pd 0.1343 0.6343 0.5000
Pd 0.3451 0.0000 0.3451
Pd 0.6549 0.0000 0.6549
Pd 0.8657 0.3657 0.5000



2.
DFT (PBE) results for a relaxed structure of TmHg2Pd.

## Properties
DFT formation energy in eV per atom: 0.0939
Crystal system: trigonal
Electronic total energy in eV/atom: -2.473
N(E_F) in states/eV per atom: 0.644

Unit cell a=3.2858 b=3.2858 c=30.9210 alpha=90.00 beta=90.00 gamma=120.00
Fractional coordinates of all 12 atoms:
Tm 0.0000 0.0000 0.0000
Tm 0.3333 0.6667 0.6667
Tm 0.6667 0.3333 0.3333
Hg 0.0000 0.0000 0.0977
Hg 0.0000 0.0000 0.9023
Hg 0.3333 0.6667 0.5690
Hg 0.3333 0.6667 0.7644
Hg 0.6667 0.3333 0.2356
Hg 0.6667 0.3333 0.4310
Pd 0.0000 0.0000 0.5000
Pd 0.3333 0.6667 0.1667
Pd 0.6667 0.3333 0.8333



3.
DFT (PBE) results for a relaxed structure of Tm7HgPd4.

## Properties
DFT formation energy in eV per atom: -0.4977
Crystal system: monoclinic
Electronic total energy in eV/atom: -4.862
N(E_F) in states/eV per atom: 0.783

Unit cell a=7.4834 b=7.4834 c=9.5101 alpha=123.10 beta=123.10 gamma=42.87
Fractional coordinates of all 12 atoms:
Tm 0.0000 0.0000 0.0000
Tm 0.2014 0.2014 0.6474
Tm 0.2831 0.2831 0.1194
Tm 0.4343 0.4343 0.6280
Tm 0.5657 0.5657 0.3720
Tm 0.7169 0.7169 0.8806
Tm 0.7986 0.7986 0.3526
Hg 0.5000 0.5000 0.0000
Pd 0.0652 0.0652 0.7678
Pd 0.2018 0.2018 0.3461
Pd 0.7982 0.7982 0.6539
Pd 0.9348 0.9348 0.2322



4.
DFT (PBE) results for a relaxed structure of Tm3HgPd.

## Properties
DFT formation energy in eV per atom: -0.4156
Crystal system: orthorhombic
Electronic total energy in eV/atom: -4.197
N(E_F) in states/eV per atom: 0.833

Unit cell a=8.8148 b=8.8148 c=3.8164 alpha=90.00 beta=90.00 gamma=112.99
Fractional coordinates of all 10 atoms:
Tm 0.1653 0.8347 0.0000
Tm 0.1903 0.4236 0.5000
Tm 0.4236 0.1903 0.5000
Tm 0.5764 0.8097 0.5000
Tm 0.8097 0.5764 0.5000
Tm 0.8347 0.1653 0.0000
Hg 0.0000 0.0000 0.5000
Hg 0.5000 0.5000 0.0000
Pd 0.0000 0.5000 0.0000
Pd 0.5000 0.0000 0.0000